PBE+U Na2W2O5, optimized geometry; calculated density = 6.411 g cm⁻³; energy above the most stable polymorph in this dataset = 0 meV per atom; DFT total energy = -57.67 eV per formula unit
1.0
6.8703 -0.4712 5.5483
0.8974 4.5715 7.5168
-5.7118 -5.0211 -4.5134
Na W O
4 4 10
Direct
0.6261 0.6085 0.0215
0.3739 0.3954 0.9824
0.0869 0.1085 0.9824
0.9131 0.8954 0.0215
0.5000 0.9987 0.4987
0.0000 0.4987 0.4987
0.6000 0.2194 0.3194
0.4000 0.7194 0.6193
0.7733 0.2737 0.9988
0.2267 0.2255 0.5005
0.7750 0.7737 0.5005
0.2250 0.7255 0.9988
0.5376 0.1252 0.3986
0.4624 0.8610 0.5877
0.2267 0.6252 0.5877
0.7733 0.3610 0.3986
0.7086 0.8864 0.0950
0.2914 0.3864 0.1778